AcTmCoIr: relaxed, PBE-GGA.

The space group is F-43m (No. 216) and the conventional cell measures 7.051, 7.051 and 7.051 Å, with angles of 90.00, 90.00 and 90.00 degrees. Symmetry generates all atoms from Ac at (0.000, 0.000, 0.000), Tm at (0.000, 0.000, 0.500), Co at (0.250, 0.250, 0.750) and Ir at (0.250, 0.250, 0.250).

KAc3Co: relaxed, PBE-GGA.

The space group is R-3 (No. 148, hexagonal axes) and the conventional cell measures 7.2837, 7.2837 and 32.4473 Å, with angles of 90.00, 90.00 and 120.00 degrees. Symmetry generates all atoms from K at (0.0000, 0.0000, 0.1660), Ac at (0.0014, 0.6582, 0.9522) and Co at (0.0000, 0.0000, 0.3343).

Its energy above the most stable polymorph in this dataset is 0 meV per atom.

KAc8Co4: relaxed, PBE-GGA.

The space group is I4/m (No. 87) and the conventional cell measures 14.911, 14.911 and 4.300 Å, with angles of 90.00, 90.00 and 90.00 degrees. Symmetry generates all atoms from K at (0.000, 0.000, 0.000), Ac at (0.041, 0.662, 0.000), Ac at (0.154, 0.198, 0.500) and Co at (0.151, 0.329, 0.000).

KAc3Co: relaxed, PBE-GGA.

The space group is Pm-3m (No. 221) and the conventional cell measures 5.880, 5.880 and 5.880 Å, with angles of 90.00, 90.00 and 90.00 degrees. Symmetry generates all atoms from K at (0.000, 0.000, 0.000), Ac at (0.000, 0.500, 0.500) and Co at (0.500, 0.500, 0.500).

Its energy above the most stable polymorph in this dataset is 33 meV per atom.

| no. | formation energy from the elements (eV per formula unit) |
| --- | --- |
| 1 | -1.06 |
| 2 | 0.36 |
| 3 | -0.23 |
| 4 | 0.53 |